No. 1
# Rb2PaMn2O6 | Alexandria | PBE+U | relaxed
# Uncorrected energy (eV/cell): -158.96
data_Rb2PaMn2O6
_chemical_formula_sum 'Rb4 Pa2 Mn4 O12'
_cell_length_a 11.031
_cell_length_b 6.150
_cell_length_c 7.040
_cell_angle_alpha 90.00
_cell_angle_beta 118.90
_cell_angle_gamma 90.00
_symmetry_space_group_name_H-M 'C 1 2/m 1'
_symmetry_Int_Tables_number 12
_symmetry_space_group_name_Hall '-C 2y'
loop_
_atom_site_label
_atom_site_fract_x
_atom_site_fract_y
_atom_site_fract_z
_atom_site_occupancy
Rb1 0.210 0.000 0.126 1
Pa1 0.000 0.000 0.500 1
Mn1 0.091 0.500 0.287 1
O1 0.013 0.245 0.734 1
O2 0.226 0.000 0.674 1

No. 2
# RbPaMnO4 | Alexandria | PBE+U | relaxed
# Uncorrected energy (eV/cell): -221.99
data_RbPaMnO4
_chemical_formula_sum 'Rb4 Pa4 Mn4 O16'
_cell_length_a 6.860
_cell_length_b 7.222
_cell_length_c 10.126
_cell_angle_alpha 90.00
_cell_angle_beta 90.00
_cell_angle_gamma 90.00
_symmetry_space_group_name_H-M 'I m m a'
_symmetry_Int_Tables_number 74
_symmetry_space_group_name_Hall '-I 2b 2'
loop_
_atom_site_label
_atom_site_fract_x
_atom_site_fract_y
_atom_site_fract_z
_atom_site_occupancy
Rb1 0.000 0.250 0.150 1
Pa1 0.000 0.000 0.500 1
Mn1 0.250 0.250 0.750 1
O1 0.000 0.057 0.708 1
O2 0.193 0.250 0.501 1

No. 3
# RbPaMnO6 | Alexandria | PBE+U | relaxed
# Uncorrected energy (eV/cell): -63.40
data_RbPaMnO6
_chemical_formula_sum 'Rb1 Pa1 Mn1 O6'
_cell_length_a 5.6997
_cell_length_b 5.6997
_cell_length_c 4.7808
_cell_angle_alpha 90.00
_cell_angle_beta 90.00
_cell_angle_gamma 120.00
_symmetry_space_group_name_H-M 'P 3 1 2'
_symmetry_Int_Tables_number 149
_symmetry_space_group_name_Hall 'P 3 2'
loop_
_atom_site_label
_atom_site_fract_x
_atom_site_fract_y
_atom_site_fract_z
_atom_site_occupancy
Rb1 0.0000 0.0000 0.0000 1
Pa1 0.6667 0.3333 0.5000 1
Mn1 0.3333 0.6667 0.0000 1
O1 0.0217 0.4484 0.2383 1

No. 4
# PaMnReO6 | Alexandria | PBE+U | relaxed
# Uncorrected energy (eV/cell): -158.53
data_PaMnReO6
_chemical_formula_sum 'Pa2 Mn2 Re2 O12'
_cell_length_a 5.4863
_cell_length_b 5.4863
_cell_length_c 9.1350
_cell_angle_alpha 90.00
_cell_angle_beta 90.00
_cell_angle_gamma 120.00
_symmetry_space_group_name_H-M 'P -3 1 c'
_symmetry_Int_Tables_number 163
_symmetry_space_group_name_Hall '-P 3 2c'
loop_
_atom_site_label
_atom_site_fract_x
_atom_site_fract_y
_atom_site_fract_z
_atom_site_occupancy
Pa1 0.3333 0.6667 0.2500 1
Mn1 0.0000 0.0000 0.0000 1
Re1 0.3333 0.6667 0.7500 1
O1 0.0292 0.3612 0.6325 1

> What is the uncorrected energy in the third record?

-63.40 eV/cell

> Among the records above, which one has the lowest uncorrected energy?

RbPaMnO4

> Which formula does entry 4 have?

PaMnReO6